a.
Compound: Pr2Er2Hg
Source: Alexandria via LeMat-Bulk
Functional: PBE-GGA
Structure: optimized geometry

Unit cell a=7.4375 b=6.3837 c=9.0620 alpha=76.17 beta=65.77 gamma=54.37
Atoms (fractional coordinates):
Hg: 0.7503 0.4994 0.0000
Hg: 0.2497 0.5006 0.0000
Er: 0.3084 0.5894 0.2938
Er: 0.8979 0.4106 0.2938
Pr: 0.7098 0.0000 0.5002
Pr: 0.2951 0.0000 0.9105
Pr: 0.7049 0.0000 0.0895
Er: 0.1021 0.5894 0.7062
Er: 0.6916 0.4106 0.7062
Pr: 0.2902 0.0000 0.4998

Properties
- Space group: C2/m



b.
Compound: Pr2Er2Hg
Source: Alexandria via LeMat-Bulk
Functional: PBE-GGA
Structure: optimized geometry

Unit cell a=3.6334 b=3.6334 c=11.9120 alpha=98.77 beta=98.77 gamma=90.00
Atoms (fractional coordinates):
Er: 0.4176 0.4176 0.8351
Pr: 0.8080 0.8080 0.6160
Er: 0.5824 0.5824 0.1649
Hg: 0.0000 0.0000 0.0000
Pr: 0.1920 0.1920 0.3840

Properties
- Space group: I4/mmm



b has the most favorable energy; the next structure is 4.0 kJ/mol of atoms above.



a.
Compound: PrErHg2
Source: Alexandria via LeMat-Bulk
Functional: PBE-GGA
Structure: optimized geometry

Unit cell a=5.3529 b=5.3529 c=5.3529 alpha=60.00 beta=60.00 gamma=60.00
Atoms (fractional coordinates):
Hg: 0.2500 0.2500 0.2500
Pr: 0.5000 0.5000 0.5000
Hg: 0.7500 0.7500 0.7500
Er: 0.0000 0.0000 0.0000

Properties
- Space group: Fm-3m



b.
Compound: PrErHg2
Source: Alexandria via LeMat-Bulk
Functional: PBE-GGA
Structure: optimized geometry

Unit cell a=3.7250 b=3.7250 c=7.7627 alpha=90.00 beta=90.00 gamma=90.00
Atoms (fractional coordinates):
Er: 0.5000 0.5000 0.0000
Hg: 0.0000 0.0000 0.7737
Pr: 0.5000 0.5000 0.5000
Hg: 0.0000 0.0000 0.2263

Properties
- Space group: P4/mmm



b has the most favorable energy; the next structure is 1.9 kJ/mol of atoms above.



a.
Compound: TbPrErHg
Source: Alexandria via LeMat-Bulk
Functional: PBE-GGA
Structure: optimized geometry

Unit cell a=3.6606 b=3.6606 c=8.8752 alpha=90.00 beta=90.00 gamma=90.00
Atoms (fractional coordinates):
Pr: 0.0000 0.0000 0.0740
Er: 0.5000 0.5000 0.3580
Tb: 0.5000 0.5000 0.7868
Hg: 0.0000 0.0000 0.5658

Properties
- Space group: P4mm



b.
Compound: TbPrErHg
Source: Alexandria via LeMat-Bulk
Functional: PBE-GGA
Structure: optimized geometry

Unit cell a=5.4788 b=5.4788 c=5.4788 alpha=60.00 beta=60.00 gamma=60.00
Atoms (fractional coordinates):
Hg: 0.2500 0.2500 0.2500
Pr: 0.0000 0.0000 0.0000
Tb: 0.5000 0.5000 0.5000
Er: 0.7500 0.7500 0.7500

Properties
- Space group: F-43m



a has the most favorable energy; the next structure is 16.2 kJ/mol of atoms above.



a.
Compound: PrErTlHg
Source: Alexandria via LeMat-Bulk
Functional: PBE-GGA
Structure: optimized geometry

Unit cell a=3.7943 b=3.7943 c=7.7288 alpha=90.00 beta=90.00 gamma=90.00
Atoms (fractional coordinates):
Er: 0.5000 0.5000 0.5942
Hg: 0.0000 0.0000 0.3811
Tl: 0.0000 0.0000 0.8396
Pr: 0.5000 0.5000 0.1132

Properties
- Space group: P4mm



b.
Compound: PrErTlHg
Source: Alexandria via LeMat-Bulk
Functional: PBE-GGA
Structure: optimized geometry

Unit cell a=5.4085 b=5.4085 c=5.4085 alpha=60.00 beta=60.00 gamma=60.00
Atoms (fractional coordinates):
Hg: 0.2500 0.2500 0.2500
Pr: 0.5000 0.5000 0.5000
Er: 0.0000 0.0000 0.0000
Tl: 0.7500 0.7500 0.7500

Properties
- Space group: F-43m



a has the most favorable energy; the next structure is 1.7 kJ/mol of atoms above.



a.
Compound: PrErZnHg
Source: Alexandria via LeMat-Bulk
Functional: PBE-GGA
Structure: optimized geometry

Unit cell a=5.2572 b=5.2572 c=5.2572 alpha=60.00 beta=60.00 gamma=60.00
Atoms (fractional coordinates):
Pr: 0.7500 0.7500 0.7500
Er: 0.2500 0.2500 0.2500
Hg: 0.0000 0.0000 0.0000
Zn: 0.5000 0.5000 0.5000

Properties
- Space group: F-43m



b.
Compound: PrErZnHg
Source: Alexandria via LeMat-Bulk
Functional: PBE-GGA
Structure: optimized geometry

Unit cell a=3.6443 b=3.6443 c=7.6203 alpha=90.00 beta=90.00 gamma=90.00
Atoms (fractional coordinates):
Er: 0.5000 0.5000 0.5917
Pr: 0.5000 0.5000 0.1244
Zn: 0.0000 0.0000 0.3794
Hg: 0.0000 0.0000 0.8325

Properties
- Space group: P4mm



b has the most favorable energy; the next structure is 3.4 kJ/mol of atoms above.



a.
Compound: ErHgPt2
Source: Alexandria via LeMat-Bulk
Functional: PBE-GGA
Structure: optimized geometry

Unit cell a=4.7872 b=4.7872 c=4.7872 alpha=60.00 beta=60.00 gamma=60.00
Atoms (fractional coordinates):
Hg: 0.5000 0.5000 0.5000
Er: 0.0000 0.0000 0.0000
Pt: 0.2500 0.2500 0.2500
Pt: 0.7500 0.7500 0.7500

Properties
- Space group: Fm-3m



b.
Compound: ErHgPt2
Source: Alexandria via LeMat-Bulk
Functional: PBE-GGA
Structure: optimized geometry

Unit cell a=3.9963 b=4.3749 c=4.3749 alpha=90.00 beta=90.00 gamma=90.00
Atoms (fractional coordinates):
Pt: 0.0000 0.0000 0.5000
Hg: 0.5000 0.5000 0.5000
Pt: 0.0000 0.5000 0.0000
Er: 0.5000 0.0000 0.0000

Properties
- Space group: P4/mmm



c.
Compound: ErHgPt2
Source: Alexandria via LeMat-Bulk
Functional: PBE-GGA
Structure: optimized geometry

Unit cell a=3.6035 b=3.6035 c=5.9744 alpha=90.00 beta=90.00 gamma=90.00
Atoms (fractional coordinates):
Hg: 0.5000 0.5000 0.5000
Pt: 0.0000 0.0000 0.7481
Pt: 0.0000 0.0000 0.2519
Er: 0.5000 0.5000 0.0000

Properties
- Space group: P4/mmm



c has the most favorable energy; the next structure is 2.7 kJ/mol of atoms above.



a.
Compound: Er4HgPt
Source: Alexandria via LeMat-Bulk
Functional: PBE-GGA
Structure: optimized geometry

Unit cell a=6.9641 b=7.0296 c=7.1838 alpha=90.00 beta=92.75 gamma=90.00
Atoms (fractional coordinates):
Er: 0.6729 0.6587 0.6454
Er: 0.1729 0.8413 0.6454
Hg: 0.0000 0.0000 0.0000
Er: 0.8696 0.6473 0.1717
Er: 0.8271 0.1587 0.3546
Er: 0.1304 0.3527 0.8283
Pt: 0.5000 0.0000 0.5000
Er: 0.3271 0.3413 0.3546
Hg: 0.5000 0.5000 0.0000
Er: 0.3696 0.8527 0.1717
Pt: 0.0000 0.5000 0.5000
Er: 0.6304 0.1473 0.8283

Properties
- Space group: P2_1/c



b.
Compound: Er4HgPt
Source: Alexandria via LeMat-Bulk
Functional: PBE-GGA
Structure: optimized geometry

Unit cell a=9.5534 b=9.5534 c=9.5534 alpha=60.00 beta=60.00 gamma=60.00
Atoms (fractional coordinates):
Pt: 0.6056 0.1833 0.6056
Pt: 0.6056 0.6056 0.1833
Hg: 0.5109 0.1630 0.1630
Hg: 0.1630 0.1630 0.1630
Er: 0.5607 0.9393 0.9393
Er: 0.5607 0.9393 0.5607
Er: 0.8137 0.8137 0.1863
Er: 0.3943 0.3943 0.3943
Er: 0.9393 0.9393 0.5607
Pt: 0.6056 0.6056 0.6056
Hg: 0.1630 0.1630 0.5109
Er: 0.9393 0.5607 0.5607
Er: 0.1863 0.1863 0.8137
Hg: 0.1630 0.5109 0.1630
Er: 0.8170 0.3943 0.3943
Er: 0.5607 0.5607 0.9393
Er: 0.8137 0.1863 0.1863
Er: 0.8137 0.1863 0.8137
Pt: 0.1833 0.6056 0.6056
Er: 0.3943 0.3943 0.8170
Er: 0.9393 0.5607 0.9393
Er: 0.3943 0.8170 0.3943
Er: 0.1863 0.8137 0.1863
Er: 0.1863 0.8137 0.8137

Properties
- Space group: F-43m



b has the most favorable energy; the next structure is 19.6 kJ/mol of atoms above.